Entry 1:
Rb2ZnF4 | GGA-PBE | relaxed

Computed properties:
Distance to the lowest polymorph of the same formula = 0.523 eV/f.u.
Calculated total energy = -4.054 eV/atom
SG = P2_1/m, No. 11

The structure in POSCAR format:
```
Rb2ZnF4
1.0
6.7554 0.0000 -0.1630
0.0000 5.7537 0.0000
-2.7241 0.0000 6.6119
Rb Zn F
4 2 8
Direct
0.6630 0.7500 0.9795 Rb
0.3370 0.2500 0.0205 Rb
0.9892 0.2500 0.3450 Rb
0.0108 0.7500 0.6550 Rb
0.3839 0.7500 0.3748 Zn
0.6161 0.2500 0.6252 Zn
0.6131 0.4983 0.3929 F
0.2996 0.7500 0.0613 F
0.7004 0.2500 0.9387 F
0.6131 0.0017 0.3929 F
0.9391 0.2500 0.7078 F
0.3869 0.9983 0.6071 F
0.3869 0.5017 0.6071 F
0.0609 0.7500 0.2922 F
```



Entry 2:
Rb5ZnF8 | GGA-PBE | relaxed

Computed properties:
Calculated total energy = -3.895 eV/atom
SG = I-4, No. 82

The structure in POSCAR format:
```
Rb5ZnF8
1.0
-6.1602 -1.8859 3.4052
5.5155 0.9539 4.6658
-1.6746 6.1458 -3.5391
Rb Zn F
5 1 8
Direct
0.0213 0.3985 0.1474 Rb
0.8526 0.8739 0.2510 Rb
0.7490 0.6015 0.6229 Rb
0.5000 0.0000 0.5000 Rb
0.3771 0.1261 0.9787 Rb
0.2500 0.5000 0.7500 Zn
0.1554 0.6785 0.9292 F
0.0708 0.2262 0.7493 F
0.7365 0.2224 0.3306 F
0.6694 0.4058 0.8918 F
0.4860 0.5942 0.2635 F
0.5231 0.7738 0.8446 F
0.2507 0.3215 0.4769 F
0.1082 0.7776 0.5140 F
```



no.,mass density (Mg/m³),formation energy from raw total energies (eV/atom)
1,4.08,-2.526
2,3.61,-2.389